An optimized crystal structure of PrY3O. Source: the Open Quantum Materials Database, functional GGA-PBE.

The structure in POSCAR format:
```
PrY3O
1.0
4.980 0.000 0.000
0.000 4.980 0.000
0.000 0.000 4.980
Pr Y O
1 3 1
direct
0.500 0.500 0.500
0.000 0.000 0.500
0.000 0.500 0.000
0.500 0.000 0.000
0.000 0.000 0.000
```

Results
**Crystal system**: cubic
**Total DFT energy (no corrections)**: -34.4 eV per cell
**SG**: No. 221
**Total moment**: 0.09 μB per formula unit